No. 1
Here is crystalline As5Rh3 at its relaxed geometry from the Alexandria database. Energies are from PBE.

## Properties
distance to the lowest polymorph of the same formula = 0 meV/atom
calculated total energy = -92.12 eV for the cell shown
DFT formation energy = -0.0950 eV per atom
space-group type = P6_3/mcm, No. 193

POSCAR file:
```
As5Rh3
1.0
-0.765 -0.783 7.754
1.809 -6.218 -4.404
5.016 1.035 0.600
As Rh
10 6
direct
0.333 0.667 0.000 As
0.667 0.333 0.500 As
0.667 0.333 0.000 As
0.333 0.667 0.500 As
0.278 0.000 0.250 As
0.722 0.000 0.750 As
0.000 0.278 0.250 As
0.722 0.722 0.250 As
0.278 0.278 0.750 As
0.000 0.722 0.750 As
0.616 0.000 0.250 Rh
0.384 0.000 0.750 Rh
0.000 0.616 0.250 Rh
0.384 0.384 0.250 Rh
0.616 0.616 0.750 Rh
0.000 0.384 0.750 Rh
```

***

No. 2
Here is crystalline Pa2Ga6Tc at its relaxed geometry from the Alexandria database. Energies are from PBE.

## Properties
calculated total energy = -50.44 eV for the cell shown
DFT formation energy = -0.3240 eV per atom
space-group type = P-3m1, No. 164

POSCAR file:
```
Pa2Ga6Tc
1.0
-0.549 -5.502 0.053
5.737 -0.560 1.369
1.693 -0.114 5.677
Pa Ga Tc
2 6 1
direct
0.822 0.667 0.667 Pa
0.178 0.333 0.333 Pa
0.318 0.357 0.821 Ga
0.318 0.821 0.821 Ga
0.318 0.821 0.357 Ga
0.682 0.643 0.179 Ga
0.682 0.179 0.179 Ga
0.682 0.179 0.643 Ga
0.000 0.000 0.000 Tc
```

***

No. 3
Here is crystalline InPt2W at its relaxed geometry from the Alexandria database. Energies are from PBE.

## Properties
calculated total energy = -27.97 eV for the cell shown
DFT formation energy = -0.0497 eV per atom
space-group type = R-3m, No. 166

POSCAR file:
```
InPt2W
1.0
-3.114 -8.672 -1.628
-0.360 -9.307 -0.901
-2.378 -8.973 1.180
In Pt W
1 2 1
direct
0.750 0.750 0.750 In
0.997 0.997 0.997 Pt
0.503 0.503 0.503 Pt
0.250 0.250 0.250 W
```

***

No. 4
Here is crystalline Tl5Re4 at its relaxed geometry from the Alexandria database. Energies are from PBE.

## Properties
distance to the lowest polymorph of the same formula = 0 meV/atom
calculated total energy = -54.00 eV for the cell shown
DFT formation energy = 0.8467 eV per atom
space-group type = I4/mmm, No. 139

POSCAR file:
```
Tl5Re4
1.0
0.958 -7.876 -2.304
0.850 6.861 4.524
-7.430 -1.563 3.257
Tl Re
5 4
direct
0.000 0.000 0.000 Tl
0.332 0.668 0.000 Tl
0.668 0.332 0.000 Tl
0.668 0.668 0.336 Tl
0.332 0.332 0.664 Tl
0.371 0.000 0.371 Re
0.629 0.000 0.629 Re
0.000 0.629 0.629 Re
0.000 0.371 0.371 Re
```